1.
SrRePb2 after structural relaxation, computed with PBEsol.

Structure (CIF):
```
data_SrRePb2
_symmetry_space_group_name_H-M 'R 3 m'
_symmetry_Int_Tables_number 160
_symmetry_space_group_name_Hall 'R 3 -2"'
_cell_length_a 3.3600
_cell_length_b 3.3600
_cell_length_c 31.2633
_cell_angle_alpha 90.00
_cell_angle_beta 90.00
_cell_angle_gamma 120.00
loop_
_atom_site_label
_atom_site_type_symbol
_atom_site_fract_x
_atom_site_fract_y
_atom_site_fract_z
Sr1 Sr 0.0000 0.0000 0.0000
Re1 Re 0.0000 0.0000 0.7422
Pb1 Pb 0.0000 0.0000 0.2352
Pb2 Pb 0.0000 0.0000 0.4746
```

Values from the calculation:
V in Å³ per atom: 25.47
DFT total energy in eV/cell: -60.13
DFT formation energy in meV/atom: 782
Excess energy over the best structure of this formula in the dataset in eV per atom: 0.075
Total magnetization in μB/atom: 0.001

2.
SrRe2Pb after structural relaxation, computed with PBEsol.

Structure (CIF):
```
data_SrRe2Pb
_symmetry_space_group_name_H-M 'P m m m'
_symmetry_Int_Tables_number 47
_symmetry_space_group_name_Hall '-P 2 2'
_cell_length_a 3.0436
_cell_length_b 4.5068
_cell_length_c 6.4803
_cell_angle_alpha 90.00
_cell_angle_beta 90.00
_cell_angle_gamma 90.00
loop_
_atom_site_label
_atom_site_type_symbol
_atom_site_fract_x
_atom_site_fract_y
_atom_site_fract_z
Sr1 Sr 0.0000 0.0000 0.0000
Re1 Re 0.5000 0.5000 0.3224
Pb1 Pb 0.0000 0.0000 0.5000
```

Values from the calculation:
V in Å³ per atom: 22.22
DFT total energy in eV/cell: -28.08
DFT formation energy in meV/atom: 1106
Total magnetization in μB/atom: 0.000

3.
SrRe2Pb after structural relaxation, computed with PBEsol.

Structure (CIF):
```
data_SrRe2Pb
_symmetry_space_group_name_H-M 'I m m 2'
_symmetry_Int_Tables_number 44
_symmetry_space_group_name_Hall 'I 2 -2'
_cell_length_a 3.4229
_cell_length_b 5.1763
_cell_length_c 10.3830
_cell_angle_alpha 90.00
_cell_angle_beta 90.00
_cell_angle_gamma 90.00
loop_
_atom_site_label
_atom_site_type_symbol
_atom_site_fract_x
_atom_site_fract_y
_atom_site_fract_z
Sr1 Sr 0.0000 0.0000 0.0000
Re1 Re 0.0000 0.0000 0.5451
Re2 Re 0.0000 0.5000 0.2020
Pb1 Pb 0.0000 0.5000 0.7890
```

Values from the calculation:
V in Å³ per atom: 23.00
DFT total energy in eV/cell: -58.60
DFT formation energy in meV/atom: 801
Total magnetization in μB/atom: 0.000